The following is a PBE+U calculation of a relaxed structure of Rb3NpV2O8, from Alexandria.

POSCAR file:
```
Rb3NpV2O8
1.0
6.086 0.000 0.000
-3.043 5.271 0.000
0.000 0.000 8.073
V O Rb Np
2 8 3 1
Direct
0.667 0.333 0.740
0.333 0.667 0.260
0.656 0.828 0.338
0.667 0.333 0.949
0.344 0.172 0.662
0.828 0.656 0.662
0.172 0.828 0.338
0.172 0.344 0.338
0.828 0.172 0.662
0.333 0.667 0.051
0.000 0.000 0.000
0.667 0.333 0.290
0.333 0.667 0.710
0.000 0.000 0.500
```

Calculated values
- Magnetic moment: 0.286 μB per atom
- Total energy: -100.9 eV/cell
- Space group: No. 164

---

The following is a PBE+U calculation of a relaxed structure of RbNpVO6, from Alexandria.

POSCAR file:
```
RbNpVO6
1.0
6.072 0.498 0.122
3.466 5.010 -0.124
0.139 -0.240 6.168
Rb V Np O
1 1 1 6
Direct
0.025 0.025 0.000
0.611 0.611 0.500
0.326 0.326 0.500
0.646 0.362 0.658
0.565 0.085 0.267
0.439 0.942 0.650
0.362 0.646 0.342
0.085 0.565 0.732
0.942 0.439 0.350
```

Calculated values
- Magnetic moment: 0.111 μB per atom
- Total energy: -72.0 eV/cell
- Space group: No. 5

---

The following is a PBE+U calculation of a relaxed structure of Rb2NpVO6, from Alexandria.

POSCAR file:
```
Rb2NpVO6
1.0
5.848 0.000 0.000
0.000 5.797 0.000
0.000 0.000 8.289
O Np Rb V
12 2 4 2
Direct
0.741 0.487 0.000
0.259 0.013 0.000
0.259 0.487 0.000
0.500 0.250 0.745
0.759 0.513 0.500
0.500 0.250 0.255
0.000 0.750 0.245
0.241 0.987 0.500
0.241 0.513 0.500
0.759 0.987 0.500
0.000 0.750 0.755
0.741 0.013 0.000
0.500 0.250 0.500
0.000 0.750 0.000
0.500 0.750 0.249
0.000 0.250 0.251
0.000 0.250 0.749
0.500 0.750 0.751
0.000 0.750 0.500
0.500 0.250 0.000
```

Calculated values
- Magnetic moment: 0.200 μB per atom
- Total energy: -148.5 eV/cell
- Space group: No. 71

---

Q: Which of these has the lowest total energy?
A: Rb2NpVO6

---

Q: Which formula does entry 1 have?
A: Rb3NpV2O8